The following is a DFT calculation (GGA-PBE) of crystalline Zn2IrAu at its relaxed geometry.

Values from the calculation:
Space-group type   Imm2 (44)
DOS(E_F)   1.5 states/eV/cell
Formation energy   -1.726 kcal/mol of atoms

Cell lengths 5.3050, 5.3050, 5.3050 Å; angles 146.47, 131.88, 59.92 degrees
Closest atoms and distances in Å follow each position.
Atoms (fractional coordinates):
Au  0.5039  0.5039  0.0000  6 Zn 2.65-2.77, 2 Ir 2.89
Ir  0.2372  0.7372  0.5000  6 Zn 2.63-2.65, 2 Au 2.89
Zn  0.0044  0.0044  0.0000  2 Ir 2.63, 4 Au 2.65, 2 Zn 2.76
Zn  0.7546  0.2546  0.5000  4 Ir 2.65, 2 Zn 2.76, 2 Au 2.77